[1]
DFT (PBE) results for a geometry-optimized Mg2Hg structure.

The value obtained for the calculated total energy is -1.27 eV per atom. As for the spin magnetization: 0.00 μB/f.u. The space-group type is I4/mcm.

Cell lengths 5.661, 5.661, 5.661 Å; angles 107.52, 107.52, 113.45 degrees
Fractional coordinates of all 6 atoms:
Hg  0.250  0.250  0.000
Hg  0.750  0.750  0.000
Mg  0.169  0.331  0.500
Mg  0.331  0.831  0.162
Mg  0.669  0.169  0.838
Mg  0.831  0.669  0.500

[2]
DFT (PBE) results for a geometry-optimized Mg2Hg structure.

The value obtained for the calculated total energy is -1.25 eV per atom. As for the spin magnetization: 0.00 μB/f.u. The space-group type is P-3m1.

Cell lengths 3.385, 3.385, 6.959 Å; angles 90.00, 90.00, 120.00 degrees
Fractional coordinates of all 3 atoms:
Hg  0.000  0.000  0.000
Mg  0.333  0.667  0.321
Mg  0.667  0.333  0.679

[3]
DFT (PBE) results for a geometry-optimized MgHg structure.

The value obtained for the calculated total energy is -1.11 eV per atom. As for the spin magnetization: 0.00 μB/f.u. The space-group type is Pmmn.

Cell lengths 3.386, 5.299, 4.977 Å; angles 90.00, 90.00, 90.00 degrees
Fractional coordinates of all 4 atoms:
Mg  0.000  0.500  0.295
Mg  0.500  0.000  0.538
Hg  0.000  0.000  0.047
Hg  0.500  0.500  0.786

[4]
DFT (PBE) results for a geometry-optimized Mg5Hg3 structure.

The value obtained for the calculated total energy is -1.30 eV per atom. As for the spin magnetization: 0.00 μB/f.u. Its distance to the lowest polymorph of the same formula is 23 meV/atom. The space-group type is Cm.

Cell lengths 8.292, 8.292, 8.422 Å; angles 98.53, 98.53, 137.66 degrees
Fractional coordinates of all 16 atoms:
Hg  0.163  0.338  0.500
Hg  0.251  0.250  0.001
Hg  0.312  0.812  0.172
Hg  0.689  0.189  0.828
Hg  0.750  0.751  0.001
Hg  0.838  0.663  0.500
Mg  0.073  0.776  0.856
Mg  0.245  0.101  0.300
Mg  0.251  0.751  0.501
Mg  0.276  0.573  0.856
Mg  0.400  0.256  0.702
Mg  0.601  0.745  0.300
Mg  0.724  0.427  0.144
Mg  0.750  0.250  0.499
Mg  0.756  0.900  0.702
Mg  0.927  0.224  0.144

[5]
DFT (PBE) results for a geometry-optimized Mg2Hg structure.

The value obtained for the calculated total energy is -1.13 eV per atom. As for the spin magnetization: 0.00 μB/f.u. The space-group type is Fd-3m.

Cell lengths 5.818, 5.818, 5.818 Å; angles 60.00, 60.00, 60.00 degrees
Fractional coordinates of all 6 atoms:
Mg  0.125  0.625  0.125
Mg  0.125  0.125  0.625
Mg  0.625  0.125  0.125
Mg  0.125  0.125  0.125
Hg  0.750  0.750  0.750
Hg  0.500  0.500  0.500

[6]
DFT (PBE) results for a geometry-optimized MgHg structure.

The value obtained for the calculated total energy is -1.13 eV per atom. As for the spin magnetization: 0.00 μB/f.u. The space-group type is C2/m.

Cell lengths 5.525, 6.708, 6.708 Å; angles 149.90, 133.92, 58.00 degrees
Fractional coordinates of all 4 atoms:
Mg  0.466  0.497  0.969
Mg  0.617  0.253  0.365
Hg  0.967  0.995  0.973
Hg  0.116  0.755  0.361